An optimized crystal structure of SrNiO3, computed with PBE with a Hubbard U.

## Properties
Crystal system: monoclinic
M_tot (μB/cell): 4.00
ρ (Mg/m³): 4.52
E (eV for the cell shown): -104.366

a = 12.0948 Å, b = 3.8644 Å, c = 6.3039 Å
α = 90.00°, β = 104.33°, γ = 90.00°
Space group C2/m (No. 12)
Symmetry-distinct sites (fractional):
Sr 0.1241 0.0000 0.3532 x4
Ni 0.1620 0.5000 0.8983 x4
O 0.0019 0.5000 0.1157 x4
O 0.1614 0.5000 0.5903 x4
O 0.1765 0.0000 0.9836 x4